First-principles (PBE-GGA) data for an optimized crystal structure of La2HoSb, as listed in Alexandria via LeMat-Bulk.

Summary:
ΔE_f (raw) = -560 meV/atom
total moment = 0.00 μB per formula unit
ΔE to the lowest computed polymorph = 0 meV per atom
density = 7.84 g cm⁻³
D(E_F) = 0.98 states/eV/atom
space group = No. 123

Structure (POSCAR):
```
La2HoSb
1.0
4.888 0.000 0.000
0.000 4.888 0.000
0.000 0.000 5.004
La Ho Sb
2 1 1
Direct
0.000 0.500 0.000
0.500 0.000 0.000
0.000 0.000 0.500
0.500 0.500 0.500
```